The following is a DFT calculation (GGA-PBE) of an optimized crystal structure of BSb2SeI.

As for the uncorrected formation energy: 1.51 eV/atom. The calculation puts the density of states at the Fermi level at 1.03 states/eV/atom. As for the volume: 171.7 Å³/cell.

```
data_BSb2SeI
_cell_length_a 5.4381
_cell_length_b 5.4381
_cell_length_c 5.8060
_cell_angle_alpha 90.00
_cell_angle_beta 90.00
_cell_angle_gamma 90.00
_space_group_name_H-M_alt 'P 4/m m m'
_space_group_IT_number 123
_space_group_name_Hall '-P 4 2'
loop_
_atom_site_label
_atom_site_fract_x
_atom_site_fract_y
_atom_site_fract_z
B1 0.0000 0.0000 0.0000
Sb1 0.0000 0.5000 0.5000
Se1 0.5000 0.5000 0.5000
I1 0.5000 0.5000 0.0000
```

***

The following is a DFT calculation (GGA-PBE) of an optimized crystal structure of AgTeCl2.

As for the uncorrected formation energy: -0.18 eV/atom. The calculation puts the density of states at the Fermi level at 0.38 states/eV/atom. As for the volume: 101.4 Å³/cell.

```
data_AgTeCl2
_cell_length_a 3.5404
_cell_length_b 5.9590
_cell_length_c 5.1218
_cell_angle_alpha 90.00
_cell_angle_beta 110.20
_cell_angle_gamma 90.00
_space_group_name_H-M_alt 'P 1 m 1'
_space_group_IT_number 6
loop_
_space_group_symop_operation_xyz
'x,y,z'
'x,-y,z'
loop_
_atom_site_label
_atom_site_fract_x
_atom_site_fract_y
_atom_site_fract_z
Ag1 0.0000 0.0000 0.0000
Te1 0.0103 0.5000 0.0288
Cl1 0.2578 0.5000 0.5247
Cl2 0.7080 0.0000 0.4410
```

***

The following is a DFT calculation (GGA-PBE) of an optimized crystal structure of Sm4ThSc3Se8.

As for the uncorrected formation energy: -1.67 eV/atom. The calculation puts the density of states at the Fermi level at 0.72 states/eV/atom. As for the volume: 1149.6 Å³/cell.

```
data_Sm4ThSc3Se8
_cell_length_a 8.1316
_cell_length_b 8.1316
_cell_length_c 20.0724
_cell_angle_alpha 90.00
_cell_angle_beta 90.00
_cell_angle_gamma 120.00
_space_group_name_H-M_alt 'R -3 m'
_space_group_IT_number 166
_space_group_name_Hall '-R 3 2"'
loop_
_atom_site_label
_atom_site_fract_x
_atom_site_fract_y
_atom_site_fract_z
Sm1 0.0000 0.0000 0.0000
Sm2 0.0000 0.5000 0.0000
Th1 0.0000 0.0000 0.5000
Sc1 0.0000 0.5000 0.5000
Se1 0.0000 0.0000 0.2420
Se2 0.0131 0.5066 0.7551
```

***

The following is a DFT calculation (GGA-PBE) of an optimized crystal structure of Li2GeRh2.

The calculation puts the density of states at the Fermi level at 0.32 states/eV/atom. As for the volume: 127.7 Å³/cell. The formation energy comes out at -0.04 eV per atom.

```
data_Li2GeRh2
_cell_length_a 4.3561
_cell_length_b 4.3561
_cell_length_c 6.7324
_cell_angle_alpha 90.00
_cell_angle_beta 90.00
_cell_angle_gamma 90.00
_space_group_name_H-M_alt 'I 4/m m m'
_space_group_IT_number 139
_space_group_name_Hall '-I 4 2'
loop_
_atom_site_label
_atom_site_fract_x
_atom_site_fract_y
_atom_site_fract_z
Li1 0.0000 0.0000 0.1332
Ge1 0.0000 0.0000 0.5000
Rh1 0.0000 0.5000 0.2500
```

***

Please write out number 3 again, unchanged.
The following is a DFT calculation (GGA-PBE) of an optimized crystal structure of Sm4ThSc3Se8.

As for the uncorrected formation energy: -1.67 eV/atom. The calculation puts the density of states at the Fermi level at 0.72 states/eV/atom. As for the volume: 1149.6 Å³/cell.

```
data_Sm4ThSc3Se8
_cell_length_a 8.1316
_cell_length_b 8.1316
_cell_length_c 20.0724
_cell_angle_alpha 90.00
_cell_angle_beta 90.00
_cell_angle_gamma 120.00
_space_group_name_H-M_alt 'R -3 m'
_space_group_IT_number 166
_space_group_name_Hall '-R 3 2"'
loop_
_atom_site_label
_atom_site_fract_x
_atom_site_fract_y
_atom_site_fract_z
Sm1 0.0000 0.0000 0.0000
Sm2 0.0000 0.5000 0.0000
Th1 0.0000 0.0000 0.5000
Sc1 0.0000 0.5000 0.5000
Se1 0.0000 0.0000 0.2420
Se2 0.0131 0.5066 0.7551
```

***

Which value of volume does entry 1 give?
171.7 Å³/cell